# BeTl2Fe

A geometry-optimized BeTl2Fe structure (PBE, the Alexandria database).

Output
SG: No. 122
E_form (eV/atom): 1.0772
Crystal system: tetragonal
E (eV/atom): -3.1531

Geometry as CIF:
```
data_BeTl2Fe
_symmetry_space_group_name_H-M 'P 1'
_symmetry_Int_Tables_number 1
_cell_length_a 7.128
_cell_length_b 7.128
_cell_length_c 5.838
_cell_angle_alpha 52.37
_cell_angle_beta 52.37
_cell_angle_gamma 90.00
loop_
_symmetry_equiv_pos_as_xyz
'x,y,z'
loop_
_atom_site_label
_atom_site_fract_x
_atom_site_fract_y
_atom_site_fract_z
Be1 0.500 0.500 0.000
Be2 0.250 0.750 0.500
Tl1 0.608 0.125 0.250
Tl2 0.142 0.625 0.250
Tl3 0.375 0.392 0.750
Tl4 0.875 0.858 0.750
Fe1 0.000 0.000 0.000
Fe2 0.750 0.250 0.500
```

# BeTlFe2

A geometry-optimized BeTlFe2 structure (PBE, the Alexandria database).

Output
SG: No. 122
E_form (eV/atom): 0.8021
Crystal system: tetragonal
E (eV/atom): -4.9523

Geometry as CIF:
```
data_BeTlFe2
_symmetry_space_group_name_H-M 'P 1'
_symmetry_Int_Tables_number 1
_cell_length_a 3.765
_cell_length_b 3.765
_cell_length_c 8.743
_cell_angle_alpha 77.57
_cell_angle_beta 77.57
_cell_angle_gamma 90.00
loop_
_symmetry_equiv_pos_as_xyz
'x,y,z'
loop_
_atom_site_label
_atom_site_fract_x
_atom_site_fract_y
_atom_site_fract_z
Be1 0.500 0.500 0.000
Be2 0.250 0.750 0.500
Tl1 0.000 0.000 0.000
Tl2 0.750 0.250 0.500
Fe1 0.504 0.125 0.250
Fe2 0.246 0.625 0.250
Fe3 0.375 0.496 0.750
Fe4 0.875 0.754 0.750
```

- Which of these has the lowest E?
  BeTlFe2

- E of number 2 (BeTlFe2)?
  -4.9523 eV/atom

- E of number 2 (BeTlFe2)?
  -4.9523 eV/atom

- Look up the E_form of the second one.
  0.8021 eV/atom